ThScRh2: optimized geometry, GGA-PBE.

Lattice parameters (Å, degrees): 3.4695 4.8085 4.8085 90.00 90.00 90.00
Last column: nearest neighbours and their distance in Å.
Element x y z (fractional)
Sc (0.5000, 0.5000, 0.5000)  8 Rh 2.96
Th (0.5000, 0.0000, 0.0000)  8 Rh 2.96
Rh (0.0000, 0.0000, 0.5000)  4 Th 2.96, 4 Sc 2.96
Rh (0.0000, 0.5000, 0.0000)  4 Th 2.96, 4 Sc 2.96

Output
As for the space group: No. 123. The theoretical density comes out at 10.0 g/cm³. For the calculated volume, the calculation gives 80 Å³/cell. As for the calculated total energy: -7.945 eV per atom. As for the energy of formation: -3.33 eV/f.u.